1.
First-principles (GGA-PBE) data for LaCd5Au3 after structural relaxation, as listed in Alexandria via LeMat-Bulk.

## Properties
**Crystal system**: orthorhombic
**Formation energy**: -0.328 eV/atom
**Total energy**: -2.4761 eV per atom
**Spin magnetization**: 0.000 μB per atom

a = 4.291 Å, b = 14.827 Å, c = 13.440 Å
α = 90.00°, β = 90.00°, γ = 90.00°
Space group Cmcm (No. 63)
Inequivalent atoms, fractional coordinates:
La 0.000 0.180 0.250 x4
Cd 0.000 0.000 0.000 x4
Cd 0.000 0.195 0.546 x8
Cd 0.000 0.435 0.143 x8
Au 0.000 0.157 0.750 x4
Au 0.000 0.382 0.587 x8

=====

2.
First-principles (GGA-PBE) data for LaCd11Au after structural relaxation, as listed in Alexandria via LeMat-Bulk.

## Properties
**Crystal system**: monoclinic
**Formation energy**: -0.172 eV/atom
**Total energy**: -1.5778 eV per atom
**Spin magnetization**: 0.000 μB per atom

a = 5.910 Å, b = 14.185 Å, c = 7.671 Å
α = 90.00°, β = 112.62°, γ = 90.00°
Space group C2/m (No. 12)
Inequivalent atoms, fractional coordinates:
La 0.000 0.000 0.000 x2
Cd 0.000 0.000 0.500 x2
Cd 0.104 0.394 0.216 x8
Cd 0.184 0.175 0.355 x8
Cd 0.250 0.250 0.000 x4
Au 0.000 0.500 0.500 x2

=====

3.
First-principles (GGA-PBE) data for LaCd6Au3 after structural relaxation, as listed in Alexandria via LeMat-Bulk.

## Properties
**Crystal system**: monoclinic
**Formation energy**: -0.314 eV/atom
**Total energy**: -2.3391 eV per atom
**Spin magnetization**: 0.000 μB per atom

a = 9.235 Å, b = 4.739 Å, c = 10.591 Å
α = 90.00°, β = 99.96°, γ = 90.00°
Space group P2_1/m (No. 11)
Inequivalent atoms, fractional coordinates:
La 0.067 0.250 0.263 x2
Cd 0.130 0.250 0.612 x2
Cd 0.164 0.750 0.040 x2
Cd 0.309 0.750 0.760 x2
Cd 0.365 0.750 0.298 x2
Cd 0.394 0.250 0.474 x2
Cd 0.459 0.250 0.907 x2
Au 0.134 0.250 0.884 x2
Au 0.184 0.750 0.484 x2
Au 0.364 0.250 0.148 x2

=====

4.
First-principles (GGA-PBE) data for La5CdAu after structural relaxation, as listed in Alexandria via LeMat-Bulk.

## Properties
**Crystal system**: monoclinic
**Formation energy**: -0.213 eV/atom
**Total energy**: -4.3316 eV per atom
**Spin magnetization**: 0.000 μB per atom

a = 9.108 Å, b = 8.331 Å, c = 12.375 Å
α = 90.00°, β = 104.78°, γ = 90.00°
Space group C2/c (No. 15)
Inequivalent atoms, fractional coordinates:
La 0.000 0.007 0.250 x4
La 0.133 0.357 0.059 x8
La 0.233 0.321 0.362 x8
Cd 0.000 0.387 0.750 x4
Au 0.000 0.000 0.000 x4

=====

5.
First-principles (GGA-PBE) data for LaCd4Au after structural relaxation, as listed in Alexandria via LeMat-Bulk.

## Properties
**Crystal system**: cubic
**Formation energy**: -0.162 eV/atom
**Total energy**: -2.1391 eV per atom
**Polymorph energy (0 for the lowest one)**: 176 meV/atom
**Spin magnetization**: 0.000 μB per atom

a = 8.345 Å, b = 8.345 Å, c = 8.345 Å
α = 90.00°, β = 90.00°, γ = 90.00°
Space group F-43m (No. 216)
Inequivalent atoms, fractional coordinates:
La 0.000 0.000 0.000 x4
Cd 0.124 0.124 0.376 x16
Au 0.250 0.250 0.750 x4

=====

6.
First-principles (GGA-PBE) data for La5Cd4Au after structural relaxation, as listed in Alexandria via LeMat-Bulk.

## Properties
**Crystal system**: tetragonal
**Formation energy**: -0.421 eV/atom
**Total energy**: -3.5789 eV per atom
**Spin magnetization**: 0.018 μB per atom

a = 3.907 Å, b = 3.907 Å, c = 19.482 Å
α = 90.00°, β = 90.00°, γ = 90.00°
Space group P4/mmm (No. 123)
Inequivalent atoms, fractional coordinates:
La 0.000 0.000 0.000 x1
La 0.000 0.000 0.204 x2
La 0.000 0.000 0.410 x2
Cd 0.500 0.500 0.102 x2
Cd 0.500 0.500 0.303 x2
Au 0.500 0.500 0.500 x1

=====

7.
First-principles (GGA-PBE) data for La2Cd3Au2 after structural relaxation, as listed in Alexandria via LeMat-Bulk.

## Properties
**Crystal system**: monoclinic
**Formation energy**: -0.530 eV/atom
**Total energy**: -3.2661 eV per atom
**Polymorph energy (0 for the lowest one)**: 43 meV/atom
**Spin magnetization**: 0.000 μB per atom

a = 10.733 Å, b = 4.363 Å, c = 7.703 Å
α = 90.00°, β = 93.14°, γ = 90.00°
Space group C2/m (No. 12)
Inequivalent atoms, fractional coordinates:
La 0.122 0.000 0.333 x4
Cd 0.000 0.500 0.000 x2
Cd 0.183 0.000 0.877 x4
Au 0.095 0.500 0.641 x4

=====

8.
First-principles (GGA-PBE) data for La2CdAu after structural relaxation, as listed in Alexandria via LeMat-Bulk.

## Properties
**Crystal system**: monoclinic
**Formation energy**: -0.472 eV/atom
**Total energy**: -3.9843 eV per atom
**Spin magnetization**: 0.000 μB per atom

a = 12.357 Å, b = 3.905 Å, c = 5.118 Å
α = 90.00°, β = 114.37°, γ = 90.00°
Space group Cm (No. 8)
Inequivalent atoms, fractional coordinates:
La 0.000 0.000 0.000 x2
La 0.210 0.000 0.709 x2
Cd 0.280 0.500 0.278 x2
Au 0.477 0.000 0.478 x2

=====

9.
First-principles (GGA-PBE) data for La5Cd2Au after structural relaxation, as listed in Alexandria via LeMat-Bulk.

## Properties
**Crystal system**: orthorhombic
**Formation energy**: -0.339 eV/atom
**Total energy**: -4.0571 eV per atom
**Spin magnetization**: 0.000 μB per atom

a = 6.871 Å, b = 13.313 Å, c = 5.492 Å
α = 90.00°, β = 90.00°, γ = 90.00°
Space group Pbam (No. 55)
Inequivalent atoms, fractional coordinates:
La 0.000 0.000 0.000 x2
La 0.141 0.282 0.000 x4
La 0.148 0.603 0.500 x4
Cd 0.119 0.856 0.500 x4
Au 0.000 0.500 0.000 x2

=====

10.
First-principles (GGA-PBE) data for LaCdAu2 after structural relaxation, as listed in Alexandria via LeMat-Bulk.

## Properties
**Crystal system**: tetragonal
**Formation energy**: -0.449 eV/atom
**Total energy**: -3.5485 eV per atom
**Spin magnetization**: 0.000 μB per atom

a = 3.861 Å, b = 3.861 Å, c = 6.538 Å
α = 90.00°, β = 90.00°, γ = 90.00°
Space group P4mm (No. 99)
Inequivalent atoms, fractional coordinates:
La 0.000 0.000 0.000 x1
Cd 0.500 0.500 0.663 x1
Au 0.000 0.000 0.488 x1
Au 0.500 0.500 0.225 x1

=====

11.
First-principles (GGA-PBE) data for La3CdAu2 after structural relaxation, as listed in Alexandria via LeMat-Bulk.

## Properties
**Crystal system**: tetragonal
**Formation energy**: -0.631 eV/atom
**Total energy**: -4.3394 eV per atom
**Spin magnetization**: 0.000 μB per atom

a = 3.838 Å, b = 3.838 Å, c = 11.465 Å
α = 90.00°, β = 90.00°, γ = 90.00°
Space group P4/mmm (No. 123)
Inequivalent atoms, fractional coordinates:
La 0.000 0.000 0.000 x1
La 0.000 0.000 0.321 x2
Cd 0.500 0.500 0.500 x1
Au 0.500 0.500 0.166 x2

=====

12.
First-principles (GGA-PBE) data for LaCd2Au2 after structural relaxation, as listed in Alexandria via LeMat-Bulk.

## Properties
**Crystal system**: tetragonal
**Formation energy**: -0.318 eV/atom
**Total energy**: -2.9802 eV per atom
**Polymorph energy (0 for the lowest one)**: 223 meV/atom
**Spin magnetization**: 0.065 μB per atom

a = 8.454 Å, b = 8.454 Å, c = 3.155 Å
α = 90.00°, β = 90.00°, γ = 90.00°
Space group P4/mbm (No. 127)
Inequivalent atoms, fractional coordinates:
La 0.000 0.000 0.000 x2
Cd 0.120 0.380 0.000 x4
Au 0.178 0.678 0.500 x4